Entry from Alexandria: CdCuSnPt after structural relaxation (PBE).

The structure belongs to space group F-43m (No. 216); the cell edges are 6.5925, 6.5925 and 6.5925 Å and the angles 90.00°, 90.00° and 90.00°. Symmetry generates all atoms from Cd at (0.0000, 0.0000, 0.0000), Cu at (0.2500, 0.2500, 0.7500), Sn at (0.0000, 0.0000, 0.5000) and Pt at (0.2500, 0.2500, 0.2500).

The calculation puts the electronic total energy at -3.90 eV per atom. The calculation puts the calculated formation energy at -135 meV per atom.

---

Entry from Alexandria: TaCdCuPt after structural relaxation (PBE).

The structure belongs to space group F-43m (No. 216); the cell edges are 6.3992, 6.3992 and 6.3992 Å and the angles 90.00°, 90.00° and 90.00°. Symmetry generates all atoms from Ta at (0.0000, 0.0000, 0.0000), Cd at (0.0000, 0.0000, 0.5000), Cu at (0.2500, 0.2500, 0.2500) and Pt at (0.2500, 0.2500, 0.7500).

The calculation puts the electronic total energy at -5.88 eV per atom. The calculation puts the calculated formation energy at -152 meV per atom.

---

Entry from Alexandria: TbCdCuPt after structural relaxation (PBE).

The structure belongs to space group F-43m (No. 216); the cell edges are 6.7633, 6.7633 and 6.7633 Å and the angles 90.00°, 90.00° and 90.00°. Symmetry generates all atoms from Tb at (0.0000, 0.0000, 0.0000), Cd at (0.0000, 0.0000, 0.5000), Cu at (0.2500, 0.2500, 0.7500) and Pt at (0.2500, 0.2500, 0.2500).

The calculation puts the electronic total energy at -4.46 eV per atom. The calculation puts the calculated formation energy at -541 meV per atom.

---

Entry from Alexandria: Tm4CdCu2Pt after structural relaxation (PBE).

The structure belongs to space group R-3m (No. 166, hexagonal axes); the cell edges are 4.9413, 4.9413 and 24.3535 Å and the angles 90.00°, 90.00° and 120.00°. Symmetry generates all atoms from Tm at (0.0000, 0.0000, 0.1186), Tm at (0.0000, 0.0000, 0.3701), Cd at (0.0000, 0.0000, 0.5000), Cu at (0.0000, 0.0000, 0.2415) and Pt at (0.0000, 0.0000, 0.0000).

The calculation puts the electronic total energy at -4.68 eV per atom. The calculation puts the calculated formation energy at -556 meV per atom.

---

Entry from Alexandria: TmCdCuPt after structural relaxation (PBE).

The structure belongs to space group F-43m (No. 216); the cell edges are 6.6875, 6.6875 and 6.6875 Å and the angles 90.00°, 90.00° and 90.00°. Symmetry generates all atoms from Tm at (0.0000, 0.0000, 0.0000), Cd at (0.0000, 0.0000, 0.5000), Cu at (0.2500, 0.2500, 0.7500) and Pt at (0.2500, 0.2500, 0.2500).

The calculation puts the electronic total energy at -4.45 eV per atom. The calculation puts the calculated formation energy at -569 meV per atom.

---

Entry from Alexandria: YCdCuPt after structural relaxation (PBE).

The structure belongs to space group F-43m (No. 216); the cell edges are 6.7569, 6.7569 and 6.7569 Å and the angles 90.00°, 90.00° and 90.00°. Symmetry generates all atoms from Y at (0.0000, 0.0000, 0.0000), Cd at (0.0000, 0.0000, 0.5000), Cu at (0.2500, 0.2500, 0.7500) and Pt at (0.2500, 0.2500, 0.2500).

The calculation puts the electronic total energy at -4.92 eV per atom. The calculation puts the calculated formation energy at -540 meV per atom.

---

Entry from Alexandria: Zn2Cd2CuPt5 after structural relaxation (PBE).

The structure belongs to space group P4/mbm (No. 127); the cell edges are 9.2976, 9.2976 and 3.8085 Å and the angles 90.00°, 90.00° and 90.00°. Symmetry generates all atoms from Zn at (0.1290, 0.3710, 0.0000), Cd at (0.1713, 0.6713, 0.0000), Cu at (0.0000, 0.0000, 0.0000), Pt at (0.0000, 0.5000, 0.5000) and Pt at (0.0738, 0.1949, 0.5000).

The calculation puts the electronic total energy at -4.14 eV per atom. The calculation puts the calculated formation energy at -268 meV per atom.

---

Entry from Alexandria: Pu2CdCu after structural relaxation (PBE).

The structure belongs to space group R-3m (No. 166, hexagonal axes); the cell edges are 2.9614, 2.9614 and 34.4757 Å and the angles 90.00°, 90.00° and 120.00°. Symmetry generates all atoms from Pu at (0.0000, 0.0000, 0.0958), Cd at (0.0000, 0.0000, 0.0000) and Cu at (0.0000, 0.0000, 0.5000).

The value obtained for the energy above the most stable polymorph in this dataset is 249 meV per atom. The calculation puts the electronic total energy at -8.05 eV per atom. The calculation puts the calculated formation energy at 367 meV per atom.

---

> Which of these has the highest electronic total energy?

CdCuSnPt

---

Repeat the sixth record exactly.
Entry from Alexandria: YCdCuPt after structural relaxation (PBE).

The structure belongs to space group F-43m (No. 216); the cell edges are 6.7569, 6.7569 and 6.7569 Å and the angles 90.00°, 90.00° and 90.00°. Symmetry generates all atoms from Y at (0.0000, 0.0000, 0.0000), Cd at (0.0000, 0.0000, 0.5000), Cu at (0.2500, 0.2500, 0.7500) and Pt at (0.2500, 0.2500, 0.2500).

The calculation puts the electronic total energy at -4.92 eV per atom. The calculation puts the calculated formation energy at -540 meV per atom.